1.
Material: La6DyHo8
Method: DFT, PBE
State: relaxed

Cell: 9.1084 9.1084 8.8149 Å, 58.89 58.89 60.00°
Closest atoms and distances in Å follow each position.
Positions (direct):
La 0.4652 0.9070 0.8602  4 Ho 3.36-3.63, 1 Dy 3.51, 2 La 3.56
La 0.0930 0.2325 0.1398  4 Ho 3.36-3.63, 1 Dy 3.51, 2 La 3.56
La 0.2325 0.5348 0.1398  4 Ho 3.36-3.63, 1 Dy 3.51, 2 La 3.56
La 0.7675 0.4652 0.8602  4 Ho 3.36-3.63, 1 Dy 3.51, 2 La 3.56
La 0.9070 0.7675 0.8602  4 Ho 3.36-3.63, 1 Dy 3.51, 2 La 3.56
La 0.5348 0.0930 0.1398  4 Ho 3.36-3.63, 1 Dy 3.51, 2 La 3.56
Dy 0.0000 0.0000 0.0000  6 La 3.51, 6 Ho 3.57
Ho 0.2374 0.2934 0.5832  3 La 3.36-3.63, 5 Ho 3.44-3.48, 1 Dy 3.57
Ho 0.7066 0.1139 0.4168  3 La 3.36-3.63, 5 Ho 3.44-3.48, 1 Dy 3.57
Ho 0.1139 0.7626 0.4168  3 La 3.36-3.63, 5 Ho 3.44-3.48, 1 Dy 3.57
Ho 0.5769 0.5769 0.2694  4 Ho 3.26-3.44, 3 La 3.55
Ho 0.4231 0.4231 0.7306  4 Ho 3.26-3.44, 3 La 3.55
Ho 0.8861 0.2374 0.5832  3 La 3.36-3.63, 5 Ho 3.44-3.48, 1 Dy 3.57
Ho 0.2934 0.8861 0.5832  3 La 3.36-3.63, 5 Ho 3.44-3.48, 1 Dy 3.57
Ho 0.7626 0.7066 0.4168  3 La 3.36-3.63, 5 Ho 3.44-3.48, 1 Dy 3.57

Properties
Its space group is R-3, No. 148. Its energy of formation is 0.11 eV per atom. The calculation puts the density of states at the Fermi level at 23.4 states/eV/f.u.


2.
Material: Zr2MnInPd
Method: DFT, PBE
State: relaxed

Cell: 4.7206 4.7988 4.7206 Å, 90.00 90.00 90.00°
Closest atoms and distances in Å follow each position.
Positions (direct):
Mn 0.0000 0.0000 0.0000  4 Zr 2.36, 2 Pd 2.40
Zr 0.0000 0.0000 0.5000  2 Mn 2.36
Zr 0.5000 0.0000 0.0000  2 Mn 2.36
Pd 0.0000 0.5000 0.0000  2 Mn 2.40
In 0.5000 0.5000 0.5000  4 Pd 3.34, 8 Zr 3.37

Properties
Its space group is P4/mmm, No. 123. Its energy of formation is 0.22 eV per atom. The calculation puts the density of states at the Fermi level at 4.1 states/eV/f.u.


3.
Material: PmYSiNi
Method: DFT, PBE
State: relaxed

Cell: 4.1068 4.0895 5.6816 Å, 90.00 111.19 90.00°
Closest atoms and distances in Å follow each position.
Positions (direct):
Pm 0.1427 0.0000 0.2853  4 Si 3.02, 3 Ni 3.02-3.08
Y 0.8615 0.5000 0.7230  3 Si 2.96-3.17, 4 Ni 3.00
Si 0.5623 0.5000 0.1246  2 Ni 2.46
Ni 0.4335 0.0000 0.8670  2 Si 2.46

Properties
The formation energy (no corrections) is -0.598 eV per atom. Its space group is Amm2, No. 38. The calculation puts the density of states at the Fermi level at 3.8 states/eV/f.u. The value obtained for the relative energy among the computed polymorphs is 0 meV per atom.


4.
Material: Hg2HIr
Method: DFT, PBE
State: relaxed

Cell: 5.1087 5.1087 6.9415 Å, 68.41 68.41 90.00°
Closest atoms and distances in Å follow each position.
Positions (direct):
H 0.5000 0.5000 0.0000  4 Hg 2.09
H 0.2500 0.7500 0.5000  4 Hg 2.09
Ir 0.0000 0.0000 0.0000  4 Hg 2.67
Ir 0.7500 0.2500 0.5000  4 Hg 2.67
Hg 0.5202 0.1250 0.2500  2 H 2.09
Hg 0.2298 0.6250 0.2500  2 H 2.09
Hg 0.3750 0.4798 0.7500  2 H 2.09
Hg 0.8750 0.7702 0.7500  2 H 2.09

Properties
Its space group is I-42d, No. 122. The calculation puts the density of states at the Fermi level at 1.1 states/eV/f.u. The value obtained for the relative energy among the computed polymorphs is 100 meV per atom.